1.
{"formula": "Ba2TiGe", "functional": "GGA-PBE", "state": "optimized geometry", "cell": [[12.2109, 0.0000, 0.0000], [0.0000, 12.2109, 0.0000], [6.1054, 6.1054, 2.5319]], "species": ["Ti", "Ba", "Ba", "Ge", "Ge", "Ti", "Ba", "Ba"], "fractional_positions": [[0.2500, 0.7500, 0.5000], [0.8750, 0.0399, 0.7500], [0.9601, 0.6250, 0.2500], [0.0000, 0.0000, 0.0000], [0.7500, 0.2500, 0.5000], [0.5000, 0.5000, 0.0000], [0.3750, 0.2101, 0.7500], [0.7899, 0.1250, 0.2500]], "formation_energy_ev_per_atom": 0.19, "crystal_system": "tetragonal"}

2.
{"formula": "Pr3YTh2S6", "functional": "GGA-PBE", "state": "optimized geometry", "cell": [[-2.2503, -4.0065, 5.2978], [-1.5120, -1.7798, -6.6128], [6.8375, -1.6294, 0.1192]], "species": ["Pr", "Pr", "S", "S", "Pr", "Th", "S", "Th", "S", "Y", "S", "S"], "fractional_positions": [[0.1676, 0.8324, 0.5000], [0.8324, 0.1676, 0.5000], [0.4074, 0.0801, 0.2407], [0.5926, 0.9199, 0.7593], [0.5000, 0.5000, 0.5000], [0.6667, 0.3333, 0.0000], [0.2464, 0.2464, 0.7580], [0.3333, 0.6667, 0.0000], [0.9199, 0.5926, 0.7593], [0.0000, 0.0000, 0.0000], [0.7536, 0.7536, 0.2420], [0.0801, 0.4074, 0.2407]], "formation_energy_uncorrected_ev_per_atom": -1.94, "crystal_system": "monoclinic"}

Number 1: N(E_F) 10.7 states/eV per cell, volume 47.2 Å³/atom, energy -31.2 eV/cell. Number 2: N(E_F) 7.1 states/eV per cell, volume 23.6 Å³/atom, energy -83.7 eV/cell.